This record from Alexandria via LeMat-Bulk describes a relaxed structure of MgTa2Te. The functional is PBE.

Cell: 4.7837 4.7837 4.7837 Å, 60.00 60.00 60.00°
Fractional coordinates of all 4 atoms:
Mg (0.0000, 0.0000, 0.0000)
Ta (0.2500, 0.2500, 0.2500)
Ta (0.5000, 0.5000, 0.5000)
Te (0.7500, 0.7500, 0.7500)

## Properties
space group = F-43m
raw formation energy = 0.46 eV/atom
VASP energy = -6.65 eV/atom

---

This record from Alexandria via LeMat-Bulk describes a relaxed structure of DyTmPa2C4. The functional is PBE.

Cell: 6.1683 3.6236 6.2754 Å, 90.00 109.86 90.00°
Fractional coordinates of all 8 atoms:
Dy (0.0000, 0.0000, 0.0000)
Tm (0.0000, 0.5000, 0.5000)
Pa (0.5000, 0.0000, 0.5000)
Pa (0.5000, 0.5000, 0.0000)
C (0.2701, 0.0000, 0.7557)
C (0.2718, 0.5000, 0.2586)
C (0.7282, 0.5000, 0.7414)
C (0.7299, 0.0000, 0.2443)

## Properties
space group = P2/m
DFT formation energy = -0.42 eV per atom
VASP energy = -8.54 eV/atom

---

This record from Alexandria via LeMat-Bulk describes a relaxed structure of Co2PRh. The functional is PBE.

Cell: 4.5252 4.5252 4.4553 Å, 113.80 113.80 35.63°
Fractional coordinates of all 4 atoms:
Co (0.0000, 0.0000, 0.0000)
Co (0.2254, 0.2254, 0.7969)
P (0.6899, 0.6899, 0.3756)
Rh (0.4232, 0.4232, 0.4458)

## Properties
space group = Cm
DFT formation energy = -0.20 eV per atom
VASP energy = -6.95 eV/atom